# Ca3RhSe

A geometry-optimized Ca3RhSe structure (PBE-GGA, Alexandria via LeMat-Bulk).

Unit cell a=5.3573 b=5.3573 c=5.3573 alpha=90.00 beta=90.00 gamma=90.00
Last column: nearest neighbours and their distance in Å.
Element x y z (fractional)
Ca (0.0000, 0.5000, 0.0000)  2 Rh 2.68
Ca (0.0000, 0.0000, 0.5000)  2 Rh 2.68
Ca (0.5000, 0.0000, 0.0000)  2 Rh 2.68
Rh (0.0000, 0.0000, 0.0000)  6 Ca 2.68
Se (0.5000, 0.5000, 0.5000)  12 Ca 3.79

Output
excess energy over the best structure of this formula in the dataset	0.00	eV per formula unit
space group	Pm-3m, No. 221
total DFT energy (no corrections)	-19.62	eV per cell
crystal system	cubic